A relaxed PuGaPt crystal, computed with PBE.

## Properties
space-group type = No. 107
calculated density = 14.4 Mg/m³
ΔH_f (0 K) = -576 meV/atom

Cell lengths 3.249, 3.249, 6.011 Å; angles 105.68, 105.68, 90.00 degrees
Fractional positions:
1 Pt 0.260 0.260 0.521
2 Ga 0.643 0.643 0.286
3 Pu 0.947 0.947 0.893